(1)
LaHo2Er | PBE | optimized geometry

## Properties
The relative energy among the computed polymorphs is 17 meV per atom. The value obtained for the energy of formation is 26 meV/atom. The value obtained for the total energy is -4.636 eV/atom. The calculation puts the spin magnetization at 0.00 μB per atom.

Lattice parameters (Å, degrees): 3.5790 3.5790 34.9016 90.00 90.00 120.00
Space group R-3m (No. 166, hexagonal axes)
Asymmetric unit:
La1 0.0000 0.0000 0.0000 (multiplicity 3)
Ho1 0.0000 0.0000 0.2477 (multiplicity 6)
Er1 0.0000 0.0000 0.5000 (multiplicity 3)



(2)
Sc6SnTe3Pb2 | PBE | optimized geometry

## Properties
As for the formation energy (no corrections): -9.49 eV per formula unit. The value obtained for the total energy is -5.693 eV/atom. The calculation puts the spin magnetization at 0.00 μB per atom.

Lattice parameters (Å, degrees): 18.3494 4.1827 8.4174 90.00 104.20 90.00
Space group C2/m (No. 12)
Asymmetric unit:
Sc1 0.0012 0.0000 0.2418 (multiplicity 4)
Sc2 0.1634 0.5000 0.0855 (multiplicity 4)
Sc3 0.1677 0.5000 0.5793 (multiplicity 4)
Sn1 0.0000 0.5000 0.0000 (multiplicity 2)
Te1 0.0000 0.5000 0.5000 (multiplicity 2)
Te2 0.1671 0.0000 0.8334 (multiplicity 4)
Pb1 0.1667 0.0000 0.3331 (multiplicity 4)